(1)
# Hg2PI | Alexandria via LeMat-Bulk | PBE | optimized geometry
data_Hg2PI
_chemical_formula_sum 'Hg4 P2 I2'
_symmetry_space_group_name_H-M 'P 1'
_symmetry_Int_Tables_number 1
_cell_length_a 4.501
_cell_length_b 7.959
_cell_length_c 8.340
_cell_angle_alpha 109.87
_cell_angle_beta 105.51
_cell_angle_gamma 90.26
loop_
_symmetry_equiv_pos_as_xyz
'x,y,z'
loop_
_atom_site_label
_atom_site_fract_x
_atom_site_fract_y
_atom_site_fract_z
_atom_site_occupancy
Hg1 0.000 0.000 0.000 1
Hg2 0.180 0.047 0.357 1
Hg3 0.450 0.365 0.899 1
Hg4 0.747 0.445 0.487 1
P1 0.764 0.150 0.526 1
P2 0.907 0.219 0.816 1
I1 0.380 0.687 0.753 1
I2 0.644 0.649 0.268 1
# **Formation energy from raw total energies**: -3.1 kJ/mol of atoms
# **Crystal system**: triclinic


(2)
# Hg3PI2 | Alexandria via LeMat-Bulk | PBE | optimized geometry
data_Hg3PI2
_chemical_formula_sum 'Hg12 P4 I8'
_symmetry_space_group_name_H-M 'C 1 2/c 1'
_symmetry_Int_Tables_number 15
_cell_length_a 14.176
_cell_length_b 8.183
_cell_length_c 8.257
_cell_angle_alpha 90.00
_cell_angle_beta 114.76
_cell_angle_gamma 90.00
loop_
_symmetry_equiv_pos_as_xyz
'x,y,z'
'-x,-y,-z'
'-x,y,-z+1/2'
'x,-y,z+1/2'
'x+1/2,y+1/2,z'
'-x+1/2,-y+1/2,-z'
'-x+1/2,y+1/2,-z+1/2'
'x+1/2,-y+1/2,z+1/2'
loop_
_atom_site_label
_atom_site_fract_x
_atom_site_fract_y
_atom_site_fract_z
_atom_site_occupancy
Hg1 0.000 0.157 0.250 1
Hg2 0.133 0.492 0.093 1
P1 0.000 0.458 0.250 1
I1 0.142 0.097 0.733 1
# **Formation energy from raw total energies**: -0.9 kJ/mol of atoms
# **Crystal system**: monoclinic


(3)
# HgPPb2I | Alexandria via LeMat-Bulk | PBE | optimized geometry
data_HgPPb2I
_chemical_formula_sum 'Hg1 P1 Pb2 I1'
_symmetry_space_group_name_H-M 'P 4/m m m'
_symmetry_Int_Tables_number 123
_symmetry_space_group_name_Hall '-P 4 2'
_cell_length_a 5.691
_cell_length_b 5.691
_cell_length_c 5.249
_cell_angle_alpha 90.00
_cell_angle_beta 90.00
_cell_angle_gamma 90.00
loop_
_atom_site_label
_atom_site_fract_x
_atom_site_fract_y
_atom_site_fract_z
_atom_site_occupancy
Hg1 0.000 0.000 0.000 1
P1 0.000 0.000 0.500 1
Pb1 0.000 0.500 0.500 1
I1 0.500 0.500 0.000 1
# **Formation energy from raw total energies**: 14.0 kJ/mol of atoms
# **Crystal system**: tetragonal


(4)
# RbHgP2I | Alexandria via LeMat-Bulk | PBE | optimized geometry
data_RbHgP2I
_chemical_formula_sum 'Rb1 Hg1 P2 I1'
_symmetry_space_group_name_H-M 'P 4/m m m'
_symmetry_Int_Tables_number 123
_symmetry_space_group_name_Hall '-P 4 2'
_cell_length_a 5.049
_cell_length_b 5.049
_cell_length_c 8.249
_cell_angle_alpha 90.00
_cell_angle_beta 90.00
_cell_angle_gamma 90.00
loop_
_atom_site_label
_atom_site_fract_x
_atom_site_fract_y
_atom_site_fract_z
_atom_site_occupancy
Rb1 0.000 0.000 0.000 1
Hg1 0.000 0.000 0.500 1
P1 0.000 0.500 0.500 1
I1 0.500 0.500 0.000 1
# **Formation energy from raw total energies**: 39.9 kJ/mol of atoms
# **Crystal system**: tetragonal


(5)
# Rb2HgPI6 | Alexandria via LeMat-Bulk | PBE | optimized geometry
data_Rb2HgPI6
_chemical_formula_sum 'Rb4 Hg2 P2 I12'
_symmetry_space_group_name_H-M 'I 4/m m m'
_symmetry_Int_Tables_number 139
_symmetry_space_group_name_Hall '-I 4 2'
_cell_length_a 8.438
_cell_length_b 8.438
_cell_length_c 11.663
_cell_angle_alpha 90.00
_cell_angle_beta 90.00
_cell_angle_gamma 90.00
loop_
_atom_site_label
_atom_site_fract_x
_atom_site_fract_y
_atom_site_fract_z
_atom_site_occupancy
Rb1 0.000 0.500 0.250 1
Hg1 0.000 0.000 0.000 1
P1 0.000 0.000 0.500 1
I1 0.000 0.000 0.259 1
I2 0.236 0.236 0.500 1
# **Formation energy from raw total energies**: -59.8 kJ/mol of atoms
# **Crystal system**: tetragonal


(6)
# HgPS2I | Alexandria via LeMat-Bulk | PBE | optimized geometry
data_HgPS2I
_chemical_formula_sum 'Hg1 P1 S2 I1'
_symmetry_space_group_name_H-M 'P 4/m m m'
_symmetry_Int_Tables_number 123
_symmetry_space_group_name_Hall '-P 4 2'
_cell_length_a 5.088
_cell_length_b 5.088
_cell_length_c 5.385
_cell_angle_alpha 90.00
_cell_angle_beta 90.00
_cell_angle_gamma 90.00
loop_
_atom_site_label
_atom_site_fract_x
_atom_site_fract_y
_atom_site_fract_z
_atom_site_occupancy
Hg1 0.000 0.000 0.000 1
P1 0.500 0.500 0.000 1
S1 0.000 0.500 0.500 1
I1 0.500 0.500 0.500 1
# **Formation energy from raw total energies**: 104.8 kJ/mol of atoms
# **Crystal system**: tetragonal